# IrOs2Rh5 (PBE, optimized geometry)
data_IrOs2Rh5
_space_group_name_H-M_alt 'P b a m'
_space_group_IT_number 55
_cell_length_a 5.4367
_cell_length_b 10.8764
_cell_length_c 3.8497
_cell_angle_alpha 90.00
_cell_angle_beta 90.00
_cell_angle_gamma 90.00
loop_
_space_group_symop_operation_xyz
'x,y,z'
'-x,-y,-z'
'-x,-y,z'
'x,y,-z'
'x+1/2,-y+1/2,-z'
'-x+1/2,y+1/2,z'
'-x+1/2,y+1/2,-z'
'x+1/2,-y+1/2,z'
loop_
_atom_site_label
_atom_site_type_symbol
_atom_site_fract_x
_atom_site_fract_y
_atom_site_fract_z
_atom_site_occupancy
Ir1 Ir 0.0000 0.0000 0.0000 1
Os1 Os 0.2473 0.1247 0.5000 1
Rh1 Rh 0.0000 0.5000 0.0000 1
Rh2 Rh 0.0011 0.7515 0.0000 1
Rh3 Rh 0.2488 0.3754 0.5000 1
# DFT formation energy, kJ per mole of atoms: 7.1
# N(E_F), states/eV per cell: 16.9
# Calculated density, g cm⁻³: 15.86
# Final energy, eV per atom: -8.436

=====

# Tl2AgAsS4 (PBE, optimized geometry)
data_Tl2AgAsS4
_space_group_name_H-M_alt 'F d d d'
_space_group_IT_number 70
_cell_length_a 6.5001
_cell_length_b 12.3219
_cell_length_c 24.4746
_cell_angle_alpha 90.00
_cell_angle_beta 90.00
_cell_angle_gamma 90.00
loop_
_space_group_symop_operation_xyz
'x,y,z'
'-x,-y,-z'
'-x+1/4,-y+1/4,z'
'x+1/4,y+1/4,-z'
'x,-y+1/4,-z+1/4'
'-x,y+1/4,z+1/4'
'-x+1/4,y,-z+1/4'
'x+1/4,-y,z+1/4'
'x,y+1/2,z+1/2'
'-x,-y+1/2,-z+1/2'
'-x+1/4,-y+3/4,z+1/2'
'x+1/4,y+3/4,-z+1/2'
'x,-y+3/4,-z+3/4'
'-x,y+3/4,z+3/4'
'-x+1/4,y+1/2,-z+3/4'
'x+1/4,-y+1/2,z+3/4'
'x+1/2,y,z+1/2'
'-x+1/2,-y,-z+1/2'
'-x+3/4,-y+1/4,z+1/2'
'x+3/4,y+1/4,-z+1/2'
'x+1/2,-y+1/4,-z+3/4'
'-x+1/2,y+1/4,z+3/4'
'-x+3/4,y,-z+3/4'
'x+3/4,-y,z+3/4'
'x+1/2,y+1/2,z'
'-x+1/2,-y+1/2,-z'
'-x+3/4,-y+3/4,z'
'x+3/4,y+3/4,-z'
'x+1/2,-y+3/4,-z+1/4'
'-x+1/2,y+3/4,z+1/4'
'-x+3/4,y+1/2,-z+1/4'
'x+3/4,-y+1/2,z+1/4'
loop_
_atom_site_label
_atom_site_type_symbol
_atom_site_fract_x
_atom_site_fract_y
_atom_site_fract_z
_atom_site_occupancy
Tl1 Tl 0.1250 0.1250 0.3206 1
Ag1 Ag 0.1250 0.1250 0.1250 1
As1 As 0.1250 0.1250 0.6250 1
S1 S 0.0752 0.2697 0.8257 1
# Formation energy from raw total energies, meV/atom: -158
# Calculated density, g cm⁻³: 4.88
# Final energy, eV per atom: -3.751

=====

# Ac12Tl6Ir (PBE, optimized geometry)
data_Ac12Tl6Ir
_space_group_name_H-M_alt 'R -3'
_space_group_IT_number 148
_space_group_name_Hall '-R 3'
_cell_length_a 13.3264
_cell_length_b 13.3264
_cell_length_c 14.9191
_cell_angle_alpha 90.00
_cell_angle_beta 90.00
_cell_angle_gamma 120.00
loop_
_atom_site_label
_atom_site_type_symbol
_atom_site_fract_x
_atom_site_fract_y
_atom_site_fract_z
_atom_site_occupancy
Ac1 Ac 0.0333 0.1931 0.3898 1
Ac2 Ac 0.0337 0.8413 0.8834 1
Tl1 Tl 0.0091 0.3972 0.2576 1
Ir1 Ir 0.0000 0.0000 0.0000 1
# DFT formation energy, kJ per mole of atoms: -22.9
# N(E_F), states/eV per cell: 63.4
# Calculated density, g cm⁻³: 8.99
# Final energy, eV per atom: -4.046

=====

no.,spin magnetization (μB per formula unit)
1,0.0
2,0.0
3,0.0